[1]
Below is a relaxed DyThHgRh crystal, with properties calculated at the PBE-GGA level.

Cell lengths 5.159, 5.159, 5.159 Å; angles 60.00, 60.00, 60.00 degrees
Element x y z (fractional)
1 Dy 0.000 0.000 0.000
2 Th 0.500 0.500 0.500
3 Hg 0.750 0.750 0.750
4 Rh 0.250 0.250 0.250

Values from the calculation:
SG = No. 216
Excess energy over the best structure of this formula in the dataset = 104 meV/atom

[2]
Below is a relaxed DyThHgRh crystal, with properties calculated at the PBE-GGA level.

Cell lengths 7.970, 7.970, 7.970 Å; angles 29.62, 29.62, 29.62 degrees
Element x y z (fractional)
1 Dy 0.000 0.000 0.000
2 Th 0.197 0.197 0.197
3 Hg 0.761 0.761 0.761
4 Rh 0.597 0.597 0.597

Values from the calculation:
SG = No. 160
Excess energy over the best structure of this formula in the dataset = 0 meV/atom

[3]
Below is a relaxed Dy4Tl2HgRh crystal, with properties calculated at the PBE-GGA level.

Cell lengths 8.963, 8.963, 8.963 Å; angles 34.00, 34.00, 34.00 degrees
Element x y z (fractional)
1 Dy 0.116 0.116 0.116
2 Dy 0.369 0.369 0.369
3 Dy 0.631 0.631 0.631
4 Dy 0.884 0.884 0.884
5 Tl 0.244 0.244 0.244
6 Tl 0.756 0.756 0.756
7 Hg 0.500 0.500 0.500
8 Rh 0.000 0.000 0.000

Values from the calculation:
SG = No. 166

[4]
Below is a relaxed Dy2TlHgRh crystal, with properties calculated at the PBE-GGA level.

Cell lengths 7.848, 4.146, 8.195 Å; angles 90.00, 110.05, 90.00 degrees
Element x y z (fractional)
1 Dy 0.031 0.250 0.229
2 Dy 0.335 0.750 0.613
3 Dy 0.665 0.250 0.387
4 Dy 0.969 0.750 0.771
5 Tl 0.329 0.250 0.955
6 Tl 0.671 0.750 0.045
7 Hg 0.330 0.750 0.231
8 Hg 0.670 0.250 0.769
9 Rh 0.096 0.250 0.615
10 Rh 0.904 0.750 0.385

Values from the calculation:
SG = No. 11

[5]
Below is a relaxed DyYHgRh crystal, with properties calculated at the PBE-GGA level.

Cell lengths 5.056, 5.056, 5.056 Å; angles 60.00, 60.00, 60.00 degrees
Element x y z (fractional)
1 Dy 0.000 0.000 0.000
2 Y 0.500 0.500 0.500
3 Hg 0.750 0.750 0.750
4 Rh 0.250 0.250 0.250

Values from the calculation:
SG = No. 216

[6]
Below is a relaxed DyZrHgRh crystal, with properties calculated at the PBE-GGA level.

Cell lengths 4.936, 4.936, 4.936 Å; angles 60.00, 60.00, 60.00 degrees
Element x y z (fractional)
1 Dy 0.000 0.000 0.000
2 Zr 0.500 0.500 0.500
3 Hg 0.250 0.250 0.250
4 Rh 0.750 0.750 0.750

Values from the calculation:
SG = No. 216

| no. | formation energy from the elements (eV/atom) | energy (eV per atom) |
| --- | --- | --- |
| 1 | -0.4788 | -5.398 |
| 2 | -0.5829 | -5.502 |
| 3 | -0.4754 | -4.325 |
| 4 | -0.5320 | -4.377 |
| 5 | -0.6178 | -5.298 |
| 6 | -0.4271 | -5.628 |